First-principles (GGA-PBE) data for a relaxed AcErInPb crystal, as listed in Alexandria.

CIF file:
```
data_AcErInPb
_chemical_formula_sum 'Ac4 Er4 In4 Pb4'
_space_group_name_H-M_alt 'F -4 3 m'
_space_group_IT_number 216
_space_group_name_Hall 'F -4 2 3'
_cell_length_a 7.945
_cell_length_b 7.945
_cell_length_c 7.945
_cell_angle_alpha 90.00
_cell_angle_beta 90.00
_cell_angle_gamma 90.00
loop_
_atom_site_label
_atom_site_type_symbol
_atom_site_fract_x
_atom_site_fract_y
_atom_site_fract_z
Ac1 Ac 0.000 0.000 0.000
Er1 Er 0.000 0.000 0.500
In1 In 0.250 0.250 0.750
Pb1 Pb 0.250 0.250 0.250
```

## Properties
total energy = -4.16 eV per atom
V = 501.6 Å³/cell
Fermi-level density of states = 0.768 states/eV/atom